# Li2MnP4O12 | Alexandria | GGA+U | optimized geometry
data_Li2MnP4O12
_symmetry_space_group_name_H-M 'P 4/n b m'
_symmetry_Int_Tables_number 125
_cell_length_a 9.433
_cell_length_b 9.433
_cell_length_c 4.676
_cell_angle_alpha 90.00
_cell_angle_beta 90.00
_cell_angle_gamma 90.00
loop_
_symmetry_equiv_pos_as_xyz
'x,y,z'
'-x,-y,-z'
'-y+1/2,x,z'
'y+1/2,-x,-z'
'-x+1/2,-y+1/2,z'
'x+1/2,y+1/2,-z'
'y,-x+1/2,z'
'-y,x+1/2,-z'
'x,-y+1/2,-z'
'-x,y+1/2,z'
'-y+1/2,-x+1/2,-z'
'y+1/2,x+1/2,z'
'-x+1/2,y,-z'
'x+1/2,-y,z'
'y,x,-z'
'-y,-x,z'
loop_
_atom_site_label
_atom_site_fract_x
_atom_site_fract_y
_atom_site_fract_z
Li1 0.000 0.000 0.000
Mn1 0.250 0.250 0.000
P1 0.028 0.750 0.500
O1 0.047 0.179 0.257
O2 0.137 0.637 0.649
# * density: 3.07 g/cm3
# * total magnetic moment: 9.990 μB/cell
# * total energy: -7.04 eV per atom